DFT (PBE) results for a relaxed Hf2VRh crystal.

Lattice parameters (Å, degrees): 2.9865 2.9865 9.7522 81.19 81.19 60.00
Last column: nearest neighbours and their distance in Å.
Positions (direct):
Rh (0.5000, 0.5000, 0.5000)  6 Hf 2.79, 6 Rh 2.99
Hf (0.0904, 0.0904, 0.7289)  1 V 2.60, 3 Rh 2.79
Hf (0.9096, 0.9096, 0.2711)  1 V 2.60, 3 Rh 2.79
V (0.0000, 0.0000, 0.0000)  2 Hf 2.60

offset from the most stable computed form = 658 meV/atom
magnetization = 0.00 μB/f.u.
electronic total energy = -0.65196 Ry per atom
ΔE_f = 224 meV/atom

=====

DFT (PBE) results for a relaxed LiY2Zn crystal.

Lattice parameters (Å, degrees): 5.1301 5.1301 5.1301 60.00 60.00 60.00
Last column: nearest neighbours and their distance in Å.
Positions (direct):
Li (0.5000, 0.5000, 0.5000)  4 Y 3.14, 4 Zn 3.14
Y (0.0000, 0.0000, 0.0000)  4 Zn 3.14, 4 Y 3.14
Y (0.2500, 0.2500, 0.2500)  4 Y 3.14, 4 Li 3.14
Zn (0.7500, 0.7500, 0.7500)  4 Li 3.14, 4 Y 3.14

magnetization = 0.00 μB/f.u.
electronic total energy = -0.28509 Ry per atom
ΔE_f = 150 meV/atom

=====

DFT (PBE) results for a relaxed AcUTe2 crystal.

Lattice parameters (Å, degrees): 3.8904 3.8904 7.9264 90.00 90.00 90.00
Last column: nearest neighbours and their distance in Å.
Positions (direct):
Ac (0.5000, 0.5000, 0.5000)  8 Te 3.48, 4 Ac 3.89
Te (0.0000, 0.0000, 0.7695)  4 U 3.30, 4 Ac 3.48, 1 Te 3.65
Te (0.0000, 0.0000, 0.2305)  4 U 3.30, 4 Ac 3.48, 1 Te 3.65
U (0.5000, 0.5000, 0.0000)  8 Te 3.30

offset from the most stable computed form = 76 meV/atom
magnetization = 3.94 μB/f.u.
electronic total energy = -0.46055 Ry per atom
uncorrected formation energy = -0.8461 eV/atom

=====

DFT (PBE) results for a relaxed Ti12NbSn3 crystal.

Lattice parameters (Å, degrees): 5.2270 5.2451 10.4113 90.00 90.00 90.00
Last column: nearest neighbours and their distance in Å.
Positions (direct):
Ti (0.5000, 0.0000, 0.3732)  2 Ti 2.63-2.64, 2 Sn 2.93, 2 Nb 2.93
Ti (0.5000, 0.0000, 0.8796)  2 Ti 2.51-2.63
Ti (0.7507, 0.5000, 0.0000)  2 Ti 2.61-2.62, 2 Sn 2.90
Ti (0.7573, 0.5000, 0.5000)  2 Ti 2.54-2.69
Ti (0.0000, 0.7517, 0.2575)  2 Ti 2.60-2.64, 1 Nb 2.84
Ti (0.0000, 0.7517, 0.7425)  2 Ti 2.60-2.64, 1 Nb 2.84
Ti (0.5000, 0.0000, 0.1204)  2 Ti 2.51-2.63
Ti (0.5000, 0.0000, 0.6268)  2 Ti 2.63-2.64, 2 Sn 2.93, 2 Nb 2.93
Ti (0.2493, 0.5000, 0.0000)  2 Ti 2.61-2.62, 2 Sn 2.90
Ti (0.2427, 0.5000, 0.5000)  2 Ti 2.54-2.69
Ti (0.0000, 0.2483, 0.2575)  2 Ti 2.60-2.64, 1 Nb 2.84
Ti (0.0000, 0.2483, 0.7425)  2 Ti 2.60-2.64, 1 Nb 2.84
Nb (0.0000, 0.0000, 0.5000)  12 Ti 2.84-2.93
Sn (0.5000, 0.5000, 0.2486)  12 Ti 2.90-2.94
Sn (0.5000, 0.5000, 0.7514)  12 Ti 2.90-2.94
Sn (0.0000, 0.0000, 0.0000)  12 Ti 2.90-2.98

magnetization = 0.00 μB/f.u.
electronic total energy = -0.55181 Ry per atom
ΔE_f = -207 meV/atom

=====

DFT (PBE) results for a relaxed CaPuAg2O6 crystal.

Lattice parameters (Å, degrees): 5.9880 7.2969 7.2969 85.69 86.05 86.05
Last column: nearest neighbours and their distance in Å.
Positions (direct):
Ca (0.2500, 0.9088, 0.0912)  6 O 2.34-2.39
Ca (0.7500, 0.0912, 0.9088)  6 O 2.34-2.39
Pu (0.2500, 0.2631, 0.7369)  6 O 1.97-2.08
Pu (0.7500, 0.7369, 0.2631)  6 O 1.97-2.08
Ag (0.2053, 0.7857, 0.5970)  4 O 2.25-2.28
Ag (0.2947, 0.4030, 0.2143)  4 O 2.25-2.28
Ag (0.7947, 0.2143, 0.4030)  4 O 2.25-2.28
Ag (0.7053, 0.5970, 0.7857)  4 O 2.25-2.28
O (0.1202, 0.0058, 0.7953)  1 Pu 2.08, 1 Ag 2.25
O (0.3798, 0.2047, 0.9942)  1 Pu 2.08, 1 Ag 2.25
O (0.8798, 0.9942, 0.2047)  1 Pu 2.08, 1 Ag 2.25
O (0.6202, 0.7953, 0.0058)  1 Pu 2.08, 1 Ag 2.25
O (0.4539, 0.8410, 0.3526)  1 Pu 1.97
O (0.0461, 0.6474, 0.1590)  1 Pu 1.97
O (0.5461, 0.1590, 0.6474)  1 Pu 1.97
O (0.9539, 0.3526, 0.8410)  1 Pu 1.97
O (0.3633, 0.5156, 0.7118)  1 Pu 2.00
O (0.1367, 0.2882, 0.4844)  1 Pu 2.00
O (0.6367, 0.4844, 0.2882)  1 Pu 2.00
O (0.8633, 0.7118, 0.5156)  1 Pu 2.00

magnetization = 0.38 μB/f.u.
electronic total energy = -0.50031 Ry per atom
uncorrected formation energy = -1.6285 eV/atom

=====

DFT (PBE) results for a relaxed Tl2Sn5Au3 crystal.

Lattice parameters (Å, degrees): 4.7162 7.7066 14.2610 90.00 99.52 90.00
Last column: nearest neighbours and their distance in Å.
Positions (direct):
Tl (0.4765, 0.7627, 0.9529)  3 Au 3.02-3.25, 2 Sn 3.31
Tl (0.1726, 0.7106, 0.3452)  10 Sn 3.37-3.77, 4 Au 3.38-3.78
Tl (0.8274, 0.2106, 0.6548)  10 Sn 3.37-3.77, 4 Au 3.38-3.78
Tl (0.5235, 0.2627, 0.0471)  3 Au 3.02-3.25, 2 Sn 3.31
Sn (0.4018, 0.3841, 0.8036)  3 Au 2.82-2.90
Sn (0.2927, 0.4968, 0.5854)  3 Au 2.89-2.98, 1 Sn 3.19
Sn (0.7073, 0.9968, 0.4146)  3 Au 2.89-2.98, 1 Sn 3.19
Sn (0.1205, 0.2706, 0.2409)  4 Au 2.89-3.02
Sn (0.2935, 0.9234, 0.5869)  4 Au 2.89-2.96
Sn (0.9525, 0.1086, 0.9050)  4 Au 2.94-2.99
Sn (0.7065, 0.4234, 0.4131)  4 Au 2.89-2.96
Sn (0.8795, 0.7706, 0.7591)  4 Au 2.89-3.02
Sn (0.0475, 0.6086, 0.0950)  4 Au 2.94-2.99
Sn (0.5982, 0.8841, 0.1964)  3 Au 2.82-2.90
Au (0.7774, 0.7069, 0.5548)  7 Sn 2.89-2.98
Au (0.6067, 0.5097, 0.2134)  6 Sn 2.89-3.02, 1 Tl 3.02
Au (0.0520, 0.9915, 0.1040)  5 Sn 2.82-2.95
Au (0.2226, 0.2069, 0.4452)  7 Sn 2.89-2.98
Au (0.9480, 0.4915, 0.8960)  5 Sn 2.82-2.95
Au (0.3933, 0.0097, 0.7866)  6 Sn 2.89-3.02, 1 Tl 3.02

magnetization = 0.00 μB/f.u.
electronic total energy = -0.26247 Ry per atom
ΔE_f = -113 meV/atom

=====

DFT (PBE) results for a relaxed YGa3Ir2 crystal.

Lattice parameters (Å, degrees): 5.8101 5.8101 7.9450 68.55 68.55 60.00
Last column: nearest neighbours and their distance in Å.
Positions (direct):
Y (0.7900, 0.7900, 0.6301)  9 Ga 2.98-3.05, 3 Ir 3.15
Y (0.2100, 0.2100, 0.3699)  9 Ga 2.98-3.05, 3 Ir 3.15
Ga (0.2460, 0.7379, 0.2783)  3 Ir 2.60-2.63, 2 Ga 2.86
Ga (0.7379, 0.2460, 0.2783)  3 Ir 2.60-2.63, 2 Ga 2.86
Ga (0.7379, 0.7379, 0.2783)  3 Ir 2.60-2.63, 2 Ga 2.86
Ga (0.2621, 0.7540, 0.7217)  3 Ir 2.60-2.63, 2 Ga 2.86
Ga (0.7540, 0.2621, 0.7217)  3 Ir 2.60-2.63, 2 Ga 2.86
Ga (0.2621, 0.2621, 0.7217)  3 Ir 2.60-2.63, 2 Ga 2.86
Ir (0.0000, 0.0000, 0.0000)  6 Ga 2.63, 6 Ir 2.91
Ir (0.0000, 0.5000, 0.0000)  4 Ga 2.60, 6 Ir 2.91
Ir (0.5000, 0.5000, 0.0000)  4 Ga 2.60, 6 Ir 2.91
Ir (0.5000, 0.0000, 0.0000)  4 Ga 2.60, 6 Ir 2.91

magnetization = 0.00 μB/f.u.
electronic total energy = -0.44117 Ry per atom
ΔE_f = -458 meV/atom

=====

DFT (PBE) results for a relaxed Tb6Pm3Ho2Sc crystal.

Lattice parameters (Å, degrees): 6.1584 6.1584 11.7684 94.99 94.99 119.98
Last column: nearest neighbours and their distance in Å.
Positions (direct):
Tb (0.9188, 0.5880, 0.7559)  1 Sc 3.49, 2 Ho 3.50, 6 Tb 3.53-3.57, 3 Pm 3.60-3.62
Tb (0.7505, 0.7505, 0.2443)  1 Sc 3.49, 2 Ho 3.50, 6 Tb 3.53-3.57, 3 Pm 3.60-3.61
Tb (0.0812, 0.4120, 0.2441)  1 Sc 3.49, 2 Ho 3.50, 6 Tb 3.53-3.57, 3 Pm 3.60-3.62
Tb (0.5880, 0.9188, 0.7559)  1 Sc 3.49, 2 Ho 3.50, 6 Tb 3.53-3.57, 3 Pm 3.60-3.62
Tb (0.2495, 0.2495, 0.7557)  1 Sc 3.49, 2 Ho 3.50, 6 Tb 3.53-3.57, 3 Pm 3.60-3.61
Tb (0.4120, 0.0812, 0.2441)  1 Sc 3.49, 2 Ho 3.50, 6 Tb 3.53-3.57, 3 Pm 3.60-3.62
Pm (0.1666, 0.8334, 0.5000)  6 Pm 3.55-3.56, 6 Tb 3.60-3.62
Pm (0.8334, 0.1666, 0.5000)  6 Pm 3.55-3.56, 6 Tb 3.60-3.62
Pm (0.5000, 0.5000, 0.5000)  6 Pm 3.56, 6 Tb 3.60-3.61
Ho (0.3335, 0.6665, 0.0000)  6 Tb 3.50, 3 Ho 3.55-3.56, 3 Sc 3.56
Ho (0.6665, 0.3335, 0.0000)  6 Tb 3.50, 3 Ho 3.55-3.56, 3 Sc 3.56
Sc (0.0000, 0.0000, 0.0000)  6 Tb 3.49, 6 Ho 3.56

magnetization = 0.00 μB/f.u.
electronic total energy = -0.35030 Ry per atom
ΔE_f = 27 meV/atom

=====

DFT (PBE) results for a relaxed Ac3NdPt4 crystal.

Lattice parameters (Å, degrees): 6.1461 6.1461 6.1461 90.00 90.00 90.00
Last column: nearest neighbours and their distance in Å.
Positions (direct):
Ac (0.0000, 0.5000, 0.5000)  6 Pt 3.07
Ac (0.5000, 0.0000, 0.5000)  6 Pt 3.07
Ac (0.5000, 0.5000, 0.0000)  6 Pt 3.07
Nd (0.0000, 0.0000, 0.0000)  6 Pt 3.07
Pt (0.5000, 0.0000, 0.0000)  4 Ac 3.07, 2 Nd 3.07
Pt (0.0000, 0.5000, 0.0000)  4 Ac 3.07, 2 Nd 3.07
Pt (0.0000, 0.0000, 0.5000)  4 Ac 3.07, 2 Nd 3.07
Pt (0.5000, 0.5000, 0.5000)  6 Ac 3.07

magnetization = 0.00 μB/f.u.
electronic total energy = -0.46212 Ry per atom
ΔE_f = -1130 meV/atom

=====

DFT (PBE) results for a relaxed BaTaAu2 crystal.

Lattice parameters (Å, degrees): 6.0153 6.0153 6.0153 138.21 138.21 60.58
Last column: nearest neighbours and their distance in Å.
Positions (direct):
Au (0.0000, 0.0000, 0.0000)  4 Ba 3.03, 4 Au 3.37, 4 Ta 3.37
Au (0.2500, 0.7500, 0.5000)  4 Ta 3.03, 4 Ba 3.37, 4 Au 3.37
Ba (0.5000, 0.5000, 0.0000)  8 Au 3.03-3.37, 4 Ta 3.37
Ta (0.7500, 0.2500, 0.5000)  8 Au 3.03-3.37, 4 Ba 3.37

offset from the most stable computed form = 643 meV/atom
magnetization = 0.00 μB/f.u.
electronic total energy = -0.33466 Ry per atom
ΔE_f = 529 meV/atom

=====

DFT (PBE) results for a relaxed Pm3Si4Ni2 crystal.

Lattice parameters (Å, degrees): 4.0096 5.8381 8.1539 98.51 90.00 110.08
Last column: nearest neighbours and their distance in Å.
Positions (direct):
Pm (0.6642, 0.3284, 0.6625)  4 Ni 3.09-3.18, 8 Si 3.10-3.26
Pm (0.0000, 0.0000, 0.0000)  8 Si 3.08-3.21, 4 Ni 3.12
Pm (0.3358, 0.6716, 0.3375)  4 Ni 3.09-3.18, 8 Si 3.10-3.26
Si (0.7193, 0.4386, 0.0671)  1 Ni 2.26, 2 Si 2.43
Si (0.2807, 0.5614, 0.9329)  1 Ni 2.26, 2 Si 2.43
Si (0.9439, 0.8878, 0.6174)  2 Ni 2.28, 1 Si 2.43
Si (0.0561, 0.1122, 0.3826)  2 Ni 2.28, 1 Si 2.43
Ni (0.6081, 0.2162, 0.2784)  3 Si 2.26-2.28
Ni (0.3919, 0.7838, 0.7216)  3 Si 2.26-2.28

offset from the most stable computed form = 0 meV/atom
magnetization = 0.00 μB/f.u.
electronic total energy = -0.44713 Ry per atom
uncorrected formation energy = -0.8051 eV/atom

=====

DFT (PBE) results for a relaxed YMg3Au2 crystal.

Lattice parameters (Å, degrees): 4.3057 7.1693 8.4524 90.00 90.00 90.00
Last column: nearest neighbours and their distance in Å.
Positions (direct):
Y (0.5000, 0.5294, 0.5817)  5 Au 3.00-3.15, 2 Mg 3.35
Y (0.5000, 0.0294, 0.4183)  5 Au 3.00-3.15, 2 Mg 3.35
Mg (0.0000, 0.4693, 0.9190)  5 Au 2.99-3.13, 5 Mg 3.30-3.33
Mg (0.0000, 0.9693, 0.0810)  5 Au 2.99-3.13, 5 Mg 3.30-3.33
Mg (0.5000, 0.6413, 0.1826)  4 Au 2.70-2.80
Mg (0.5000, 0.1413, 0.8174)  4 Au 2.70-2.80
Mg (0.0000, 0.3593, 0.3012)  4 Au 2.74-2.85
Mg (0.0000, 0.8593, 0.6988)  4 Au 2.74-2.85
Au (0.5000, 0.7592, 0.8796)  6 Mg 2.70-3.01, 1 Y 3.01
Au (0.5000, 0.2592, 0.1204)  6 Mg 2.70-3.01, 1 Y 3.01
Au (0.0000, 0.2415, 0.6232)  5 Mg 2.80-2.99, 2 Y 3.00
Au (0.0000, 0.7415, 0.3768)  5 Mg 2.80-2.99, 2 Y 3.00

magnetization = 0.00 μB/f.u.
electronic total energy = -0.26205 Ry per atom
ΔE_f = -598 meV/atom